Below is an optimized crystal structure of NaLiCdF4, with properties calculated at the PBE level.

CIF file:
```
data_NaLiCdF4
_symmetry_space_group_name_H-M 'I m m a'
_symmetry_Int_Tables_number 74
_symmetry_space_group_name_Hall '-I 2b 2'
_cell_length_a 6.377
_cell_length_b 6.684
_cell_length_c 9.131
_cell_angle_alpha 90.00
_cell_angle_beta 90.00
_cell_angle_gamma 90.00
loop_
_atom_site_label
_atom_site_type_symbol
_atom_site_fract_x
_atom_site_fract_y
_atom_site_fract_z
_atom_site_occupancy
Na1 Na 0.250 0.250 0.250 1
Li1 Li 0.000 0.250 0.637 1
Cd1 Cd 0.000 0.000 0.000 1
F1 F 0.000 0.001 0.757 1
F2 F 0.247 0.250 0.996 1
```

Computed properties:
ΔE_f (raw)	-2.53	eV per atom
uncorrected energy	-4.19	eV/atom
total magnetic moment	0.00	μB/atom

Below is an optimized crystal structure of ThTaN3, with properties calculated at the PBE level.

CIF file:
```
data_ThTaN3
_symmetry_space_group_name_H-M 'P 1 21/c 1'
_symmetry_Int_Tables_number 14
_symmetry_space_group_name_Hall '-P 2ybc'
_cell_length_a 7.436
_cell_length_b 6.577
_cell_length_c 7.169
_cell_angle_alpha 90.00
_cell_angle_beta 116.87
_cell_angle_gamma 90.00
loop_
_atom_site_label
_atom_site_type_symbol
_atom_site_fract_x
_atom_site_fract_y
_atom_site_fract_z
_atom_site_occupancy
Th1 Th 0.119 0.236 0.039 1
Ta1 Ta 0.317 0.641 0.905 1
N1 N 0.014 0.546 0.791 1
N2 N 0.260 0.693 0.615 1
N3 N 0.370 0.160 0.433 1
```

Computed properties:
ΔE_f (raw)	-1.32	eV per atom
uncorrected energy	-10.17	eV/atom
total magnetic moment	0.00	μB/atom

Below is an optimized crystal structure of Tl5SnCl8, with properties calculated at the PBE level.

CIF file:
```
data_Tl5SnCl8
_symmetry_space_group_name_H-M 'I -4'
_symmetry_Int_Tables_number 82
_symmetry_space_group_name_Hall 'I -4'
_cell_length_a 9.430
_cell_length_b 9.430
_cell_length_c 9.794
_cell_angle_alpha 90.00
_cell_angle_beta 90.00
_cell_angle_gamma 90.00
loop_
_atom_site_label
_atom_site_type_symbol
_atom_site_fract_x
_atom_site_fract_y
_atom_site_fract_z
_atom_site_occupancy
Tl1 Tl 0.000 0.000 0.000 1
Tl2 Tl 0.123 0.267 0.628 1
Sn1 Sn 0.000 0.500 0.250 1
Cl1 Cl 0.066 0.236 0.308 1
Cl2 Cl 0.070 0.326 0.961 1
```

Computed properties:
ΔE_f (raw)	-0.92	eV per atom
uncorrected energy	-3.11	eV/atom
total magnetic moment	0.06	μB/atom

Below is an optimized crystal structure of Zr4Zn2C, with properties calculated at the PBE level.

CIF file:
```
data_Zr4Zn2C
_symmetry_space_group_name_H-M 'P 1 21/m 1'
_symmetry_Int_Tables_number 11
_symmetry_space_group_name_Hall '-P 2yb'
_cell_length_a 5.250
_cell_length_b 5.621
_cell_length_c 8.572
_cell_angle_alpha 90.00
_cell_angle_beta 92.61
_cell_angle_gamma 90.00
loop_
_atom_site_label
_atom_site_type_symbol
_atom_site_fract_x
_atom_site_fract_y
_atom_site_fract_z
_atom_site_occupancy
Zr1 Zr 0.167 0.250 0.089 1
Zr2 Zr 0.226 0.750 0.382 1
Zr3 Zr 0.281 0.505 0.731 1
Zn1 Zn 0.248 0.250 0.423 1
Zn2 Zn 0.363 0.750 0.043 1
C1 C 0.017 0.750 0.152 1
```

Computed properties:
calculated formation energy	-0.160	eV per atom
uncorrected energy	-6.73	eV/atom
total magnetic moment	0.00	μB/atom

Below is an optimized crystal structure of TaTi5Mn6, with properties calculated at the PBE level.

CIF file:
```
data_TaTi5Mn6
_symmetry_space_group_name_H-M 'C m m m'
_symmetry_Int_Tables_number 65
_symmetry_space_group_name_Hall '-C 2 2'
_cell_length_a 4.243
_cell_length_b 12.715
_cell_length_c 6.004
_cell_angle_alpha 90.00
_cell_angle_beta 90.00
_cell_angle_gamma 90.00
loop_
_atom_site_label
_atom_site_type_symbol
_atom_site_fract_x
_atom_site_fract_y
_atom_site_fract_z
_atom_site_occupancy
Ta1 Ta 0.000 0.000 0.000 1
Ti1 Ti 0.000 0.000 0.500 1
Ti2 Ti 0.000 0.331 0.000 1
Ti3 Ti 0.000 0.333 0.500 1
Mn1 Mn 0.000 0.167 0.251 1
Mn2 Mn 0.000 0.500 0.251 1
```

Computed properties:
calculated formation energy	-0.250	eV per atom
uncorrected energy	-9.11	eV/atom
total magnetic moment	0.28	μB/atom

Below is an optimized crystal structure of SrZrGaN3, with properties calculated at the PBE level.

CIF file:
```
data_SrZrGaN3
_symmetry_space_group_name_H-M 'P 1 21/m 1'
_symmetry_Int_Tables_number 11
_symmetry_space_group_name_Hall '-P 2yb'
_cell_length_a 7.138
_cell_length_b 3.336
_cell_length_c 8.241
_cell_angle_alpha 90.00
_cell_angle_beta 99.69
_cell_angle_gamma 90.00
loop_
_atom_site_label
_atom_site_type_symbol
_atom_site_fract_x
_atom_site_fract_y
_atom_site_fract_z
_atom_site_occupancy
Sr1 Sr 0.180 0.250 0.222 1
Zr1 Zr 0.349 0.750 0.878 1
Ga1 Ga 0.123 0.250 0.596 1
N1 N 0.143 0.250 0.837 1
N2 N 0.173 0.750 0.486 1
N3 N 0.429 0.750 0.127 1
```

Computed properties:
ΔE_f (raw)	-0.89	eV per atom
uncorrected energy	-7.26	eV/atom
total magnetic moment	0.00	μB/atom

Below is an optimized crystal structure of YTi3Au, with properties calculated at the PBE level.

CIF file:
```
data_YTi3Au
_symmetry_space_group_name_H-M 'P m -3 m'
_symmetry_Int_Tables_number 221
_symmetry_space_group_name_Hall '-P 4 2 3'
_cell_length_a 4.974
_cell_length_b 4.974
_cell_length_c 4.974
_cell_angle_alpha 90.00
_cell_angle_beta 90.00
_cell_angle_gamma 90.00
loop_
_atom_site_label
_atom_site_type_symbol
_atom_site_fract_x
_atom_site_fract_y
_atom_site_fract_z
_atom_site_occupancy
Y1 Y 0.000 0.000 0.000 1
Ti1 Ti 0.000 0.500 0.500 1
Au1 Au 0.500 0.500 0.500 1
```

Computed properties:
calculated formation energy	0.517	eV per atom
uncorrected energy	-6.17	eV/atom
total magnetic moment	0.46	μB/atom

Below is an optimized crystal structure of K2Na2Nd4Nb2O13, with properties calculated at the PBE level.

CIF file:
```
data_K2Na2Nd4Nb2O13
_symmetry_space_group_name_H-M 'C 1 2/c 1'
_symmetry_Int_Tables_number 15
_symmetry_space_group_name_Hall '-C 2yc'
_cell_length_a 24.710
_cell_length_b 5.768
_cell_length_c 11.445
_cell_angle_alpha 90.00
_cell_angle_beta 116.44
_cell_angle_gamma 90.00
loop_
_atom_site_label
_atom_site_type_symbol
_atom_site_fract_x
_atom_site_fract_y
_atom_site_fract_z
_atom_site_occupancy
K1 K 0.249 0.050 0.132 1
Na1 Na 0.160 0.464 0.525 1
Nd1 Nd 0.064 0.046 0.950 1
Nd2 Nd 0.064 0.463 0.674 1
Nb1 Nb 0.152 0.032 0.283 1
O1 O 0.000 0.258 0.750 1
O2 O 0.001 0.252 0.477 1
O3 O 0.104 0.230 0.343 1
O4 O 0.131 0.194 0.639 1
O5 O 0.132 0.269 0.140 1
O6 O 0.136 0.226 0.877 1
O7 O 0.236 0.062 0.375 1
```

Computed properties:
ΔE_f (raw)	-2.79	eV per atom
uncorrected energy	-7.51	eV/atom
total magnetic moment	0.00	μB/atom

Copy entry 5 word for word.
Below is an optimized crystal structure of TaTi5Mn6, with properties calculated at the PBE level.

CIF file:
```
data_TaTi5Mn6
_symmetry_space_group_name_H-M 'C m m m'
_symmetry_Int_Tables_number 65
_symmetry_space_group_name_Hall '-C 2 2'
_cell_length_a 4.243
_cell_length_b 12.715
_cell_length_c 6.004
_cell_angle_alpha 90.00
_cell_angle_beta 90.00
_cell_angle_gamma 90.00
loop_
_atom_site_label
_atom_site_type_symbol
_atom_site_fract_x
_atom_site_fract_y
_atom_site_fract_z
_atom_site_occupancy
Ta1 Ta 0.000 0.000 0.000 1
Ti1 Ti 0.000 0.000 0.500 1
Ti2 Ti 0.000 0.331 0.000 1
Ti3 Ti 0.000 0.333 0.500 1
Mn1 Mn 0.000 0.167 0.251 1
Mn2 Mn 0.000 0.500 0.251 1
```

Computed properties:
calculated formation energy	-0.250	eV per atom
uncorrected energy	-9.11	eV/atom
total magnetic moment	0.28	μB/atom